No. 1
This record from Alexandria via LeMat-Bulk describes an optimized crystal structure of Dy2PuPa3P6. The functional is PBE.

Calculated values
Space-group type   C2/m (12)
M_tot   5.90 μB per formula unit
Crystal system   monoclinic
Density of states at the Fermi level   17.49 states/eV/f.u.
Energy   -101.217 eV for the cell shown

The structure in POSCAR format:
```
Dy2PuPa3P6
1.0
3.451 -5.981 0.000
3.451 5.981 0.000
-2.302 0.000 6.489
Dy Pu Pa P
2 1 3 6
direct
0.167 0.833 0.000
0.833 0.167 0.000
0.500 0.500 0.000
0.000 0.000 0.500
0.333 0.667 0.500
0.667 0.333 0.500
0.082 0.416 0.746
0.252 0.252 0.254
0.416 0.082 0.746
0.584 0.918 0.254
0.748 0.748 0.746
0.918 0.584 0.254
```


No. 2
This record from Alexandria via LeMat-Bulk describes an optimized crystal structure of Dy3PuPa2P6. The functional is PBE.

Calculated values
Space-group type   C2/m (12)
M_tot   5.47 μB per formula unit
Crystal system   monoclinic
Density of states at the Fermi level   15.57 states/eV/f.u.
Energy   -96.916 eV for the cell shown

The structure in POSCAR format:
```
Dy3PuPa2P6
1.0
8.688 -1.998 0.000
8.688 1.998 0.000
-1.816 0.000 7.746
Dy Pu Pa P
3 1 2 6
direct
0.000 0.000 0.000
0.334 0.334 0.666
0.666 0.666 0.334
0.000 0.000 0.500
0.334 0.334 0.169
0.666 0.666 0.831
0.167 0.167 0.587
0.168 0.168 0.080
0.498 0.498 0.251
0.502 0.502 0.749
0.832 0.832 0.920
0.833 0.833 0.413
```


No. 3
This record from Alexandria via LeMat-Bulk describes an optimized crystal structure of DyPu3Pa2P6. The functional is PBE.

Calculated values
Space-group type   C2/m (12)
M_tot   16.76 μB per formula unit
Crystal system   monoclinic
Density of states at the Fermi level   23.80 states/eV/f.u.
Energy   -114.772 eV for the cell shown

The structure in POSCAR format:
```
DyPu3Pa2P6
1.0
3.463 -5.998 0.000
3.463 5.998 0.000
-2.308 0.000 6.497
Dy Pu Pa P
1 3 2 6
direct
0.000 0.000 0.000
0.165 0.835 0.500
0.500 0.500 0.500
0.835 0.165 0.500
0.333 0.667 0.000
0.667 0.333 0.000
0.083 0.420 0.248
0.254 0.254 0.752
0.420 0.083 0.248
0.580 0.917 0.752
0.746 0.746 0.248
0.917 0.580 0.752
```


No. 4
This record from Alexandria via LeMat-Bulk describes an optimized crystal structure of DyPu2PaP4. The functional is PBE.

Calculated values
Space-group type   P2/m (10)
M_tot   10.85 μB per formula unit
Crystal system   monoclinic
Density of states at the Fermi level   17.70 states/eV/f.u.
Energy   -75.038 eV for the cell shown

The structure in POSCAR format:
```
DyPu2PaP4
1.0
6.892 0.000 0.000
0.000 4.005 0.000
-2.321 0.000 6.521
Dy Pu Pa P
1 2 1 4
direct
0.000 0.000 0.000
0.500 0.000 0.500
0.500 0.500 0.000
0.000 0.500 0.500
0.248 0.000 0.747
0.251 0.500 0.254
0.749 0.500 0.746
0.752 0.000 0.253
```


- Look up the M_tot of the second one.
  5.47 μB per formula unit


- The highest energy belongs to which entry?
  DyPu2PaP4


Repeat the first record exactly.
This record from Alexandria via LeMat-Bulk describes an optimized crystal structure of Dy2PuPa3P6. The functional is PBE.

Calculated values
Space-group type   C2/m (12)
M_tot   5.90 μB per formula unit
Crystal system   monoclinic
Density of states at the Fermi level   17.49 states/eV/f.u.
Energy   -101.217 eV for the cell shown

The structure in POSCAR format:
```
Dy2PuPa3P6
1.0
3.451 -5.981 0.000
3.451 5.981 0.000
-2.302 0.000 6.489
Dy Pu Pa P
2 1 3 6
direct
0.167 0.833 0.000
0.833 0.167 0.000
0.500 0.500 0.000
0.000 0.000 0.500
0.333 0.667 0.500
0.667 0.333 0.500
0.082 0.416 0.746
0.252 0.252 0.254
0.416 0.082 0.746
0.584 0.918 0.254
0.748 0.748 0.746
0.918 0.584 0.254
```